Run one
# CeZrGa, relaxed, DFT GGA-PBE
# V = 70 Å³/cell
# Space-group type = P3m1 (156)
data_CeZrGa
_cell_length_a 3.303
_cell_length_b 4.941
_cell_length_c 4.941
_cell_angle_alpha 120.00
_cell_angle_beta 90.00
_cell_angle_gamma 90.00
_space_group_name_H-M_alt 'P 1'
_space_group_IT_number 1
_space_group_name_Hall 'P 1'
loop_
_atom_site_label
_atom_site_fract_x
_atom_site_fract_y
_atom_site_fract_z
_atom_site_occupancy
Ce1 0.992 0.000 0.000 1
Ga1 0.551 0.333 0.667 1
Zr1 0.457 0.667 0.333 1



Run two
# CeZrGa, relaxed, DFT GGA-PBE
# V = 141 Å³/cell
# Space-group type = R-3m (166)
data_CeZrGa
_cell_length_a 4.628
_cell_length_b 4.628
_cell_length_c 8.065
_cell_angle_alpha 73.33
_cell_angle_beta 73.33
_cell_angle_gamma 60.00
_space_group_name_H-M_alt 'P 1'
_space_group_IT_number 1
_space_group_name_Hall 'P 1'
loop_
_atom_site_label
_atom_site_fract_x
_atom_site_fract_y
_atom_site_fract_z
_atom_site_occupancy
Ga1 0.584 0.584 0.248 1
Zr1 0.292 0.292 0.123 1
Zr2 0.708 0.708 0.877 1
Ga2 0.416 0.416 0.752 1
Ce1 0.860 0.860 0.420 1
Ce2 0.140 0.140 0.580 1



Question: of the structures shown, which is the most stable? Reply: run two.